Entry 1:
VASP calculation (PBE) on crystalline K3ZrFe at its relaxed geometry.

The value obtained for the excess energy over the best structure of this formula in the dataset is 0.170 eV per atom. The calculation puts the volume at 308.20 Å³ per cell. The density is 1.42 Mg/m³. The calculation puts the formation enthalpy at 0 K at 1.76 eV/atom.

The space group is Pm-3m (No. 221) and the conventional cell measures 6.755, 6.755 and 6.755 Å, with angles of 90.00, 90.00 and 90.00 degrees. The distinct sites, in fractional coordinates, are K at (0.000, 0.000, 0.500), Zr at (0.000, 0.000, 0.000) and Fe at (0.500, 0.500, 0.500).



Entry 2:
VASP calculation (PBE) on crystalline KZrFe2 at its relaxed geometry.

The value obtained for the excess energy over the best structure of this formula in the dataset is 0.852 eV per atom. The calculation puts the volume at 379.92 Å³ per cell. The density is 4.23 Mg/m³. The calculation puts the formation enthalpy at 0 K at 1.35 eV/atom.

The space group is I4_1/amd (No. 141, origin choice 2) and the conventional cell measures 4.676, 4.676 and 17.373 Å, with angles of 90.00, 90.00 and 90.00 degrees. The distinct sites, in fractional coordinates, are K at (0.000, 0.250, 0.375), Zr at (0.000, 0.250, 0.875) and Fe at (0.000, 0.000, 0.000).



Entry 3:
VASP calculation (PBE) on crystalline KZrFe2 at its relaxed geometry.

The value obtained for the excess energy over the best structure of this formula in the dataset is 0.011 eV per atom. The calculation puts the volume at 89.55 Å³ per cell. The density is 4.49 Mg/m³. The calculation puts the formation enthalpy at 0 K at 0.51 eV/atom.

The space group is Pm (No. 6) and the conventional cell measures 3.157, 3.158 and 8.980 Å, with angles of 90.00, 90.03 and 90.00 degrees. The distinct sites, in fractional coordinates, are K at (0.000, 0.000, 0.000), Zr at (0.497, 0.500, 0.603), Fe at (0.496, 0.500, 0.304) and Fe at (0.996, 0.000, 0.427).



Entry 4:
VASP calculation (PBE) on crystalline KZr3Fe at its relaxed geometry.

The value obtained for the excess energy over the best structure of this formula in the dataset is 0.000 eV per atom. The calculation puts the volume at 126.76 Å³ per cell. The density is 4.83 Mg/m³. The calculation puts the formation enthalpy at 0 K at 0.57 eV/atom.

The space group is Pm-3m (No. 221) and the conventional cell measures 5.023, 5.023 and 5.023 Å, with angles of 90.00, 90.00 and 90.00 degrees. The distinct sites, in fractional coordinates, are K at (0.000, 0.000, 0.000), Zr at (0.000, 0.500, 0.500) and Fe at (0.500, 0.500, 0.500).



Entry 5:
VASP calculation (PBE) on crystalline KZrFe2 at its relaxed geometry.

The value obtained for the excess energy over the best structure of this formula in the dataset is 0.142 eV per atom. The calculation puts the volume at 203.48 Å³ per cell. The density is 3.95 Mg/m³. The calculation puts the formation enthalpy at 0 K at 0.64 eV/atom.

The space group is C2/m (No. 12) and the conventional cell measures 9.187, 3.067 and 7.272 Å, with angles of 90.00, 96.69 and 90.00 degrees. The distinct sites, in fractional coordinates, are K at (0.000, 0.000, 0.000), Zr at (0.000, 0.500, 0.500) and Fe at (0.238, 0.000, 0.618).



Entry 6:
VASP calculation (PBE) on crystalline KZrFe2 at its relaxed geometry.

The value obtained for the excess energy over the best structure of this formula in the dataset is 0.000 eV per atom. The calculation puts the volume at 92.85 Å³ per cell. The density is 4.33 Mg/m³. The calculation puts the formation enthalpy at 0 K at 0.50 eV/atom.

The space group is Pmmm (No. 47) and the conventional cell measures 3.439, 3.480 and 7.758 Å, with angles of 90.00, 90.00 and 90.00 degrees. The distinct sites, in fractional coordinates, are K at (0.000, 0.000, 0.000), Zr at (0.000, 0.000, 0.500) and Fe at (0.500, 0.500, 0.348).



Entry 7:
VASP calculation (PBE) on crystalline KZrFe2 at its relaxed geometry.

The value obtained for the excess energy over the best structure of this formula in the dataset is 0.102 eV per atom. The calculation puts the volume at 197.52 Å³ per cell. The density is 4.07 Mg/m³. The calculation puts the formation enthalpy at 0 K at 0.60 eV/atom.

The space group is Imm2 (No. 44) and the conventional cell measures 3.189, 4.338 and 14.281 Å, with angles of 90.00, 90.00 and 90.00 degrees. The distinct sites, in fractional coordinates, are K at (0.000, 0.000, 0.000), Zr at (0.000, 0.500, 0.773), Fe at (0.000, 0.000, 0.661) and Fe at (0.000, 0.500, 0.275).



Entry 8:
VASP calculation (PBE) on crystalline LaFe2 at its relaxed geometry.

The calculation puts the volume at 58.14 Å³ per cell. The density is 7.16 Mg/m³. The calculation puts the formation enthalpy at 0 K at 0.39 eV/atom.

The space group is P4/mmm (No. 123) and the conventional cell measures 3.463, 3.463 and 4.849 Å, with angles of 90.00, 90.00 and 90.00 degrees. The distinct sites, in fractional coordinates, are La at (0.000, 0.000, 0.000) and Fe at (0.000, 0.500, 0.500).



Entry 9:
VASP calculation (PBE) on crystalline LaFe2 at its relaxed geometry.

The calculation puts the volume at 229.33 Å³ per cell. The density is 7.26 Mg/m³. The calculation puts the formation enthalpy at 0 K at 0.22 eV/atom.

The space group is I4_1/amd (No. 141, origin choice 2) and the conventional cell measures 4.117, 4.117 and 13.533 Å, with angles of 90.00, 90.00 and 90.00 degrees. The distinct sites, in fractional coordinates, are La at (0.000, 0.250, 0.375) and Fe at (0.000, 0.250, 0.791).



Entry 10:
VASP calculation (PBE) on crystalline La3Fe2 at its relaxed geometry.

The calculation puts the volume at 126.13 Å³ per cell. The density is 6.96 Mg/m³. The calculation puts the formation enthalpy at 0 K at 0.25 eV/atom.

The space group is P-3m1 (No. 164) and the conventional cell measures 4.7021, 4.7021 and 6.5876 Å, with angles of 90.00, 90.00 and 120.00 degrees. The distinct sites, in fractional coordinates, are La at (0.0000, 0.0000, 0.0000), La at (0.3333, 0.6667, 0.3461) and Fe at (0.3333, 0.6667, 0.8888).



Entry 11:
VASP calculation (PBE) on crystalline LaFe at its relaxed geometry.

The calculation puts the volume at 484.02 Å³ per cell. The density is 5.35 Mg/m³. The calculation puts the formation enthalpy at 0 K at 0.52 eV/atom.

The space group is I-43m (No. 217) and the conventional cell measures 7.852, 7.852 and 7.852 Å, with angles of 90.00, 90.00 and 90.00 degrees. The distinct sites, in fractional coordinates, are La at (0.228, 0.228, 0.772) and Fe at (0.110, 0.110, 0.110).



Entry 12:
VASP calculation (PBE) on crystalline LaFe at its relaxed geometry.

The calculation puts the volume at 291.70 Å³ per cell. The density is 6.65 Mg/m³. The calculation puts the formation enthalpy at 0 K at 0.14 eV/atom.

The space group is Amm2 (No. 38) and the conventional cell measures 4.050, 9.524 and 7.563 Å, with angles of 90.00, 90.00 and 90.00 degrees. The distinct sites, in fractional coordinates, are La at (0.000, 0.000, 0.000), La at (0.500, 0.196, 0.356), Fe at (0.000, 0.125, 0.632) and Fe at (0.500, 0.000, 0.699).



> volume of number 2 (KZrFe2)?

379.92 Å³ per cell



> volume of number 5 (KZrFe2)?

203.48 Å³ per cell